The following is a DFT calculation (PBE) of a geometry-optimized HfNiPb2W structure.

Geometry as POSCAR:
```
HfNiPb2W
1.0
5.2836 0.0000 0.0000
0.0000 5.2836 0.0000
0.0000 0.0000 4.6188
Hf Ni Pb W
1 1 2 1
direct
0.0000 0.0000 0.0000
0.5000 0.5000 0.0000
0.0000 0.5000 0.5000
0.5000 0.0000 0.5000
0.5000 0.5000 0.5000
```

space group = P4/mmm
DOS(E_F) = 0.781 states/eV per atom
total moment = 0.0 μB per formula unit
V = 129 Å³/cell
formation enthalpy at 0 K = 1.296 eV per atom